Here is an optimized crystal structure of CeTlF4 from the Alexandria database. Energies are from PBE-GGA.

a = 3.8058 Å, b = 6.4364 Å, c = 16.7632 Å
α = 90.00°, β = 90.00°, γ = 90.00°
Last column: nearest neighbours and their distance in Å.
Fractional coordinates of all 24 atoms:
Ce 0.7500 0.2467 0.4428  9 F 2.35-2.53
Ce 0.2500 0.7533 0.5572  9 F 2.35-2.53
Ce 0.2500 0.2533 0.9428  9 F 2.35-2.53
Ce 0.7500 0.7467 0.0572  9 F 2.35-2.53
Tl 0.7500 0.7881 0.7986  7 F 2.74-3.00
Tl 0.2500 0.2119 0.2014  7 F 2.74-3.00
Tl 0.2500 0.7119 0.2986  7 F 2.74-3.00
Tl 0.7500 0.2881 0.7014  7 F 2.74-3.00
F 0.7500 0.8932 0.6286  2 Ce 2.42, 1 F 2.71
F 0.2500 0.1068 0.3714  2 Ce 2.42, 1 F 2.71
F 0.2500 0.6068 0.1286  2 Ce 2.42, 1 F 2.71
F 0.7500 0.3932 0.8714  2 Ce 2.42, 1 F 2.71
F 0.7500 0.8661 0.4673  3 Ce 2.48-2.53, 1 F 2.71
F 0.2500 0.1339 0.5327  3 Ce 2.48-2.53, 1 F 2.71
F 0.2500 0.6339 0.9673  3 Ce 2.48-2.53, 1 F 2.71
F 0.7500 0.3661 0.0327  3 Ce 2.48-2.53, 1 F 2.71
F 0.7500 0.9975 0.9447  3 Ce 2.48-2.52, 2 F 2.66
F 0.2500 0.0025 0.0553  3 Ce 2.48-2.52, 2 F 2.66
F 0.2500 0.5025 0.4447  3 Ce 2.48-2.52, 2 F 2.66
F 0.7500 0.4975 0.5553  3 Ce 2.48-2.52, 2 F 2.66
F 0.7500 0.9086 0.1829  1 Ce 2.35
F 0.2500 0.0914 0.8171  1 Ce 2.35
F 0.2500 0.5914 0.6829  1 Ce 2.35
F 0.7500 0.4086 0.3171  1 Ce 2.35

Properties
Energy (eV per atom): -5.89
Crystal system: orthorhombic
Space group: No. 62
Mass density (g/cm3): 6.802

---

Here is an optimized crystal structure of AlCr2Re from the Alexandria database. Energies are from PBE-GGA.

a = 3.0164 Å, b = 3.0164 Å, c = 5.8726 Å
α = 90.00°, β = 90.00°, γ = 90.00°
Last column: nearest neighbours and their distance in Å.
Fractional coordinates of all 4 atoms:
Re 0.5000 0.5000 0.2500  8 Cr 2.57
Al 0.5000 0.5000 0.7500  8 Cr 2.61
Cr 0.0000 0.0000 0.0056  4 Re 2.57, 4 Al 2.61, 1 Cr 2.87
Cr 0.0000 0.0000 0.4944  4 Re 2.57, 4 Al 2.61, 1 Cr 2.87

Properties
Energy (eV per atom): -8.92
Crystal system: tetragonal
Space group: No. 123
Mass density (g/cm3): 9.857
Energy of formation from the pure elements (eV/atom): -0.061

---

Here is an optimized crystal structure of Nd6TlSn2 from the Alexandria database. Energies are from PBE-GGA.

a = 4.4135 Å, b = 8.6772 Å, c = 8.6769 Å
α = 120.00°, β = 90.00°, γ = 90.00°
Last column: nearest neighbours and their distance in Å.
Fractional coordinates of all 9 atoms:
Nd 0.5000 0.5951 0.0000  4 Sn 3.44, 1 Tl 3.51, 6 Nd 3.57-3.81
Nd 0.5000 0.4049 0.4049  4 Sn 3.44, 1 Tl 3.51, 6 Nd 3.57-3.81
Nd 0.5000 0.0000 0.5951  4 Sn 3.44, 1 Tl 3.51, 6 Nd 3.57-3.81
Nd 0.0000 0.2716 0.0000  2 Sn 3.19, 2 Tl 3.23, 2 Nd 3.57
Nd 0.0000 0.7284 0.7284  2 Sn 3.19, 2 Tl 3.23, 2 Nd 3.57
Nd 0.0000 0.0000 0.2716  2 Sn 3.19, 2 Tl 3.23, 2 Nd 3.57
Tl 0.5000 0.0000 0.0000  9 Nd 3.23-3.51
Sn 0.0000 0.3334 0.6667  9 Nd 3.19-3.44
Sn 0.0000 0.6667 0.3333  9 Nd 3.19-3.44

Properties
Energy (eV per atom): -4.79
Crystal system: hexagonal
Space group: No. 189
Mass density (g/cm3): 7.543
Energy of formation from the pure elements (eV/atom): -0.462

---

Here is an optimized crystal structure of Y2Ho2Co from the Alexandria database. Energies are from PBE-GGA.

a = 7.3581 Å, b = 6.8417 Å, c = 7.9291 Å
α = 72.18°, β = 55.32°, γ = 57.47°
Last column: nearest neighbours and their distance in Å.
Fractional coordinates of all 10 atoms:
Y 0.1656 0.0000 0.1071  2 Co 2.98
Y 0.8344 0.0000 0.8929  2 Co 2.98
Y 0.6475 0.0000 0.5952  2 Co 2.66
Y 0.3525 0.0000 0.4048  2 Co 2.66
Ho 0.5609 0.4543 0.2580  1 Co 2.56
Ho 0.9848 0.4543 0.7420  1 Co 2.56
Ho 0.4391 0.5457 0.7420  1 Co 2.56
Ho 0.0152 0.5457 0.2580  1 Co 2.56
Co 0.8777 0.2446 0.5000  2 Ho 2.56, 2 Y 2.66, 1 Co 2.82
Co 0.1223 0.7554 0.5000  2 Ho 2.56, 2 Y 2.66, 1 Co 2.82

Properties
Energy (eV per atom): -5.90
Crystal system: monoclinic
Space group: No. 12
Mass density (g/cm3): 6.800
Energy of formation from the pure elements (eV/atom): -0.064

---

Here is an optimized crystal structure of BeP2Pb from the Alexandria database. Energies are from PBE-GGA.

a = 5.3472 Å, b = 5.3472 Å, c = 5.3472 Å
α = 144.53°, β = 117.01°, γ = 74.43°
Last column: nearest neighbours and their distance in Å.
Fractional coordinates of all 4 atoms:
Pb 0.4750 0.4750 0.0000  2 Be 2.91, 6 P 3.09-3.25, 2 Pb 3.26
P 0.0130 0.0130 0.0000  2 Be 2.23, 2 P 2.31
P 0.8207 0.3207 0.5000  2 P 2.31
Be 0.1912 0.6912 0.5000  2 P 2.23

Properties
Energy (eV per atom): -4.06
Crystal system: orthorhombic
Space group: No. 44
Mass density (g/cm3): 5.959
Energy of formation from the pure elements (eV/atom): 0.507

---

Here is an optimized crystal structure of ErCd3Au from the Alexandria database. Energies are from PBE-GGA.

a = 3.9113 Å, b = 9.4763 Å, c = 12.5524 Å
α = 90.00°, β = 90.00°, γ = 90.00°
Last column: nearest neighbours and their distance in Å.
Fractional coordinates of all 20 atoms:
Er 0.7500 0.8235 0.9945  2 Au 2.95, 2 Cd 3.24
Er 0.2500 0.6765 0.4945  2 Au 2.95, 2 Cd 3.24
Er 0.7500 0.3235 0.5055  2 Au 2.95, 2 Cd 3.24
Er 0.2500 0.1765 0.0055  2 Au 2.95, 2 Cd 3.24
Cd 0.2500 0.5634 0.0904  3 Au 2.87-2.88, 1 Cd 2.89
Cd 0.7500 0.4366 0.9096  3 Au 2.87-2.88, 1 Cd 2.89
Cd 0.2500 0.0634 0.4096  3 Au 2.87-2.88, 1 Cd 2.89
Cd 0.7500 0.9366 0.5904  3 Au 2.87-2.88, 1 Cd 2.89
Cd 0.2500 0.4322 0.7029  2 Au 2.80-3.00, 2 Cd 2.97
Cd 0.7500 0.0678 0.2029  2 Au 2.80-3.00, 2 Cd 2.97
Cd 0.2500 0.9322 0.7971  2 Au 2.80-3.00, 2 Cd 2.97
Cd 0.7500 0.6681 0.7001  3 Cd 2.89-2.97, 2 Au 2.92, 2 Er 3.24
Cd 0.2500 0.3319 0.2999  3 Cd 2.89-2.97, 2 Au 2.92, 2 Er 3.24
Cd 0.7500 0.1681 0.7999  3 Cd 2.89-2.97, 2 Au 2.92, 2 Er 3.24
Cd 0.7500 0.5678 0.2971  2 Au 2.80-3.00, 2 Cd 2.97
Cd 0.2500 0.8319 0.2001  3 Cd 2.89-2.97, 2 Au 2.92, 2 Er 3.24
Au 0.2500 0.1546 0.6275  7 Cd 2.80-3.00, 2 Er 2.95
Au 0.2500 0.6546 0.8725  7 Cd 2.80-3.00, 2 Er 2.95
Au 0.7500 0.3454 0.1275  7 Cd 2.80-3.00, 2 Er 2.95
Au 0.7500 0.8454 0.3725  7 Cd 2.80-3.00, 2 Er 2.95

Properties
Energy (eV per atom): -2.42
Crystal system: orthorhombic
Space group: No. 62
Mass density (g/cm3): 10.014
Energy of formation from the pure elements (eV/atom): -0.306

---

Here is an optimized crystal structure of MgSiSe2 from the Alexandria database. Energies are from PBE-GGA.

a = 3.6783 Å, b = 7.2493 Å, c = 3.6802 Å
α = 90.00°, β = 90.00°, γ = 90.00°
Last column: nearest neighbours and their distance in Å.
Fractional coordinates of all 4 atoms:
Mg 0.0000 0.5000 0.5000  4 Se 2.60
Se 0.0000 0.0000 0.0000  4 Si 2.60
Se 0.5000 0.5000 0.0000  4 Mg 2.60
Si 0.5000 0.0000 0.5000  4 Se 2.60

Properties
Energy (eV per atom): -3.72
Crystal system: orthorhombic
Space group: No. 47
Mass density (g/cm3): 3.559

---

Here is an optimized crystal structure of Ac2ErBi from the Alexandria database. Energies are from PBE-GGA.

a = 3.6979 Å, b = 3.6979 Å, c = 13.0495 Å
α = 81.85°, β = 81.85°, γ = 60.00°
Last column: nearest neighbours and their distance in Å.
Fractional coordinates of all 4 atoms:
Ac 0.0911 0.0911 0.7267  1 Er 3.52, 3 Bi 3.62, 6 Ac 3.70
Ac 0.9089 0.9089 0.2733  1 Er 3.52, 3 Bi 3.62, 6 Ac 3.70
Bi 0.5000 0.5000 0.5000  6 Ac 3.62, 6 Bi 3.70
Er 0.0000 0.0000 0.0000  2 Ac 3.52, 6 Er 3.70

Properties
Energy (eV per atom): -4.06
Crystal system: trigonal
Space group: No. 166
Mass density (g/cm3): 9.043
Energy of formation from the pure elements (eV/atom): 0.101

---

Here is an optimized crystal structure of Cr2Fe from the Alexandria database. Energies are from PBE-GGA.

a = 6.9585 Å, b = 6.9585 Å, c = 4.1042 Å
α = 90.00°, β = 90.00°, γ = 160.11°
Last column: nearest neighbours and their distance in Å.
Fractional coordinates of all 6 atoms:
Cr 0.3727 0.6273 0.2500  4 Fe 2.39-2.46, 6 Cr 2.40-2.61
Cr 0.6273 0.3727 0.7500  4 Fe 2.39-2.46, 6 Cr 2.40-2.61
Cr 0.9511 0.0489 0.7500  8 Cr 2.40-2.61, 2 Fe 2.59
Cr 0.0489 0.9511 0.2500  8 Cr 2.40-2.61, 2 Fe 2.59
Fe 0.7164 0.2836 0.2500  6 Cr 2.39-2.59, 6 Fe 2.40-2.55
Fe 0.2836 0.7164 0.7500  6 Cr 2.39-2.59, 6 Fe 2.40-2.55

Properties
Energy (eV per atom): -9.01
Crystal system: orthorhombic
Space group: No. 63
Mass density (g/cm3): 7.853
Energy of formation from the pure elements (eV/atom): 0.227

---

Here is an optimized crystal structure of Hg2TeI2 from the Alexandria database. Energies are from PBE-GGA.

a = 6.4735 Å, b = 6.4735 Å, c = 6.2798 Å
α = 58.97°, β = 58.97°, γ = 90.00°
Last column: nearest neighbours and their distance in Å.
Fractional coordinates of all 5 atoms:
I 0.7500 0.2500 0.5000  4 Hg 3.33
I 0.2500 0.7500 0.5000  4 Hg 3.33
Te 0.0000 0.0000 0.0000  2 Hg 2.93
Hg 0.3410 0.3410 0.3181  1 Hg 2.73, 1 Te 2.93
Hg 0.6590 0.6590 0.6819  1 Hg 2.73, 1 Te 2.93

Properties
Energy (eV per atom): -1.22
Crystal system: tetragonal
Space group: No. 139
Mass density (g/cm3): 7.213

---

Here is an optimized crystal structure of LiBe4Rh from the Alexandria database. Energies are from PBE-GGA.

a = 4.3101 Å, b = 4.3101 Å, c = 4.3101 Å
α = 60.00°, β = 60.00°, γ = 60.00°
Last column: nearest neighbours and their distance in Å.
Fractional coordinates of all 6 atoms:
Be 0.1236 0.6255 0.6255  6 Be 2.15-2.16
Be 0.6255 0.6255 0.6255  6 Be 2.15-2.16
Be 0.6255 0.1236 0.6255  6 Be 2.15-2.16
Be 0.6255 0.6255 0.1236  6 Be 2.15-2.16
Li 0.2500 0.2500 0.2500  12 Be 2.53, 4 Rh 2.64
Rh 0.0000 0.0000 0.0000  12 Be 2.53, 4 Li 2.64

Properties
Energy (eV per atom): -4.32
Crystal system: cubic
Space group: No. 216
Mass density (g/cm3): 4.279
Energy of formation from the pure elements (eV/atom): -0.297

---

Here is an optimized crystal structure of HgMoOs from the Alexandria database. Energies are from PBE-GGA.

a = 2.8625 Å, b = 2.8625 Å, c = 7.1764 Å
α = 90.00°, β = 90.00°, γ = 120.00°
Last column: nearest neighbours and their distance in Å.
Fractional coordinates of all 3 atoms:
Hg 0.0000 0.0000 0.9989  6 Hg 2.86, 3 Os 3.04, 3 Mo 3.06
Mo 0.3333 0.6667 0.3582  3 Os 2.63, 6 Mo 2.86
Os 0.6667 0.3333 0.6430  3 Mo 2.63, 6 Os 2.86

Properties
Energy (eV per atom): -7.06
Crystal system: trigonal
Space group: No. 156
Mass density (g/cm3): 15.872
Energy of formation from the pure elements (eV/atom): 0.392

---

Q: Look up the mass density of the ninth one.
A: 7.853 g/cm3

---

Please write out number 11 again, unchanged.
Here is an optimized crystal structure of LiBe4Rh from the Alexandria database. Energies are from PBE-GGA.

a = 4.3101 Å, b = 4.3101 Å, c = 4.3101 Å
α = 60.00°, β = 60.00°, γ = 60.00°
Last column: nearest neighbours and their distance in Å.
Fractional coordinates of all 6 atoms:
Be 0.1236 0.6255 0.6255  6 Be 2.15-2.16
Be 0.6255 0.6255 0.6255  6 Be 2.15-2.16
Be 0.6255 0.1236 0.6255  6 Be 2.15-2.16
Be 0.6255 0.6255 0.1236  6 Be 2.15-2.16
Li 0.2500 0.2500 0.2500  12 Be 2.53, 4 Rh 2.64
Rh 0.0000 0.0000 0.0000  12 Be 2.53, 4 Li 2.64

Properties
Energy (eV per atom): -4.32
Crystal system: cubic
Space group: No. 216
Mass density (g/cm3): 4.279
Energy of formation from the pure elements (eV/atom): -0.297